## LaSiAg2S4 (PBE)

Data for a relaxed LaSiAg2S4 crystal.

Energy relative to the elements, uncorrected (eV/atom): -0.65
Electronic total energy (eV per formula unit): -37.8
Total moment (μB/cell): 0.0

a = 7.8760 Å, b = 7.8760 Å, c = 7.2697 Å
α = 117.03°, β = 117.03°, γ = 93.87°
With the nearest neighbours (Å) after each atom.
Positions (direct):
1 La 0.0000 0.5000 0.0000  6 S 2.80-2.88
2 La 0.5000 0.0000 0.5000  6 S 2.80-2.88
3 Si 0.0000 0.0000 0.0000  6 S 2.44-2.53
4 Si 0.0000 0.0000 0.5000  6 S 2.44-2.53
5 Ag 0.0000 0.5000 0.5000  6 S 2.65-2.89
6 Ag 0.5000 0.0000 0.0000  6 S 2.65-2.89
7 Ag 0.5000 0.5000 0.0000  4 S 2.86-2.95
8 Ag 0.5000 0.5000 0.5000  4 S 2.86-2.95
9 S 0.2093 0.7863 0.5112  1 Si 2.44, 2 Ag 2.65-2.71
10 S 0.2137 0.7907 0.9888  1 Si 2.44, 2 Ag 2.65-2.71
11 S 0.2173 0.2181 0.9622  2 Si 2.51-2.53
12 S 0.2181 0.2173 0.4622  2 Si 2.51-2.53
13 S 0.7819 0.7827 0.5378  2 Si 2.51-2.53
14 S 0.7827 0.7819 0.0378  2 Si 2.51-2.53
15 S 0.7863 0.2093 0.0112  1 Si 2.44, 2 Ag 2.65-2.71
16 S 0.7907 0.2137 0.4888  1 Si 2.44, 2 Ag 2.65-2.71

=====

## Ba8Zn2Pt (PBE)

Data for a relaxed Ba8Zn2Pt crystal.

Electronic total energy (eV per formula unit): -26.1
Total moment (μB/cell): 0.8

a = 8.8295 Å, b = 8.8295 Å, c = 8.6821 Å
α = 90.78°, β = 90.78°, γ = 58.31°
With the nearest neighbours (Å) after each atom.
Positions (direct):
1 Ba 0.1959 0.1959 0.6128  1 Pt 3.16, 1 Zn 3.44
2 Ba 0.2062 0.7122 0.7494  1 Pt 3.10, 2 Zn 3.40-3.42
3 Ba 0.2878 0.7938 0.2506  1 Pt 3.10, 2 Zn 3.40-3.42
4 Ba 0.2934 0.2934 0.1055  1 Zn 3.38
5 Ba 0.7066 0.7066 0.8945  1 Zn 3.38
6 Ba 0.7122 0.2062 0.7494  1 Pt 3.10, 2 Zn 3.40-3.42
7 Ba 0.7938 0.2878 0.2506  1 Pt 3.10, 2 Zn 3.40-3.42
8 Ba 0.8041 0.8041 0.3872  1 Pt 3.16, 1 Zn 3.44
9 Zn 0.0893 0.0893 0.9578  1 Zn 2.86
10 Zn 0.9107 0.9107 0.0422  1 Zn 2.86
11 Pt 0.0000 0.0000 0.5000  6 Ba 3.10-3.16

=====

## TlAg2W (PBE)

Data for a relaxed TlAg2W crystal.

Electronic total energy (eV per formula unit): -17.3
Total moment (μB/cell): 2.1

a = 4.8990 Å, b = 4.8990 Å, c = 4.8990 Å
α = 124.79°, β = 124.79°, γ = 81.89°
With the nearest neighbours (Å) after each atom.
Positions (direct):
1 Tl 0.0000 0.0000 0.0000  8 Ag 2.93-3.21, 4 W 2.93
2 Ag 0.5000 0.5000 0.0000  4 W 2.93, 4 Ag 2.93, 4 Tl 3.21
3 Ag 0.7500 0.2500 0.5000  4 Tl 2.93, 4 Ag 2.93, 4 W 3.21
4 W 0.2500 0.7500 0.5000  4 Tl 2.93, 8 Ag 2.93-3.21

=====

## Pm12HRh6 (PBE)

Data for a relaxed Pm12HRh6 crystal.

Electronic total energy (eV per formula unit): -113.5
Total moment (μB/cell): 0.0

a = 8.1891 Å, b = 8.1891 Å, c = 8.1891 Å
α = 99.29°, β = 99.29°, γ = 99.29°
With the nearest neighbours (Å) after each atom.
Positions (direct):
1 Pm 0.0402 0.9181 0.6857  1 H 2.64, 2 Rh 2.83-2.85
2 Pm 0.0819 0.3143 0.9598  1 H 2.64, 2 Rh 2.83-2.85
3 Pm 0.1771 0.5778 0.4131  3 Rh 2.75-3.05
4 Pm 0.3143 0.9598 0.0819  1 H 2.64, 2 Rh 2.83-2.85
5 Pm 0.4131 0.1771 0.5778  3 Rh 2.75-3.05
6 Pm 0.4222 0.5869 0.8229  3 Rh 2.75-3.05
7 Pm 0.5778 0.4131 0.1771  3 Rh 2.75-3.05
8 Pm 0.5869 0.8229 0.4222  3 Rh 2.75-3.05
9 Pm 0.6857 0.0402 0.9181  1 H 2.64, 2 Rh 2.83-2.85
10 Pm 0.8229 0.4222 0.5869  3 Rh 2.75-3.05
11 Pm 0.9181 0.6857 0.0402  1 H 2.64, 2 Rh 2.83-2.85
12 Pm 0.9598 0.0819 0.3143  1 H 2.64, 2 Rh 2.83-2.85
13 H 0.0000 0.0000 0.0000  6 Pm 2.64
14 Rh 0.1265 0.3012 0.6198  5 Pm 2.75-3.05
15 Rh 0.3012 0.6198 0.1265  5 Pm 2.75-3.05
16 Rh 0.3802 0.8735 0.6988  5 Pm 2.75-3.05
17 Rh 0.6198 0.1265 0.3012  5 Pm 2.75-3.05
18 Rh 0.6988 0.3802 0.8735  5 Pm 2.75-3.05
19 Rh 0.8735 0.6988 0.3802  5 Pm 2.75-3.05